Entry 1:
Compound: Er2Tm3Sb2
Source: the Alexandria database
Functional: PBE-GGA
Structure: relaxed

Summary:
- ΔE_f (raw) (eV/atom) = -0.609
- size of the total moment (Bohr magnetons per cell) = 0.00
- uncorrected energy (Ry/atom) = -0.3680

Unit cell a=6.309 b=6.309 c=8.346 alpha=107.46 beta=107.46 gamma=39.13
Fractional positions:
Er (0.128, 0.128, 0.278)
Er (0.872, 0.872, 0.722)
Tm (0.374, 0.374, 0.055)
Tm (0.500, 0.500, 0.500)
Tm (0.626, 0.626, 0.945)
Sb (0.175, 0.175, 0.691)
Sb (0.825, 0.825, 0.309)

Entry 2:
Compound: Sc6Ga5Ge
Source: the Alexandria database
Functional: PBE-GGA
Structure: relaxed

Summary:
- size of the total moment (Bohr magnetons per cell) = 0.00
- uncorrected energy (Ry/atom) = -0.3974
- ΔE_f (eV/atom) = -0.595

Unit cell a=6.990 b=6.990 c=7.734 alpha=90.00 beta=90.00 gamma=143.16
Fractional positions:
Sc (0.000, 0.000, 0.246)
Sc (0.000, 0.000, 0.754)
Sc (0.334, 0.666, 0.251)
Sc (0.334, 0.666, 0.749)
Sc (0.666, 0.334, 0.251)
Sc (0.666, 0.334, 0.749)
Ga (0.166, 0.834, 0.500)
Ga (0.172, 0.828, 0.000)
Ga (0.500, 0.500, 0.500)
Ga (0.828, 0.172, 0.000)
Ga (0.834, 0.166, 0.500)
Ge (0.500, 0.500, 0.000)

Entry 3:
Compound: K2CaAl
Source: the Alexandria database
Functional: PBE-GGA
Structure: relaxed

Summary:
- size of the total moment (Bohr magnetons per cell) = 0.00
- uncorrected energy (Ry/atom) = -0.1183
- ΔE_f (eV/atom) = 0.375

Unit cell a=8.531 b=8.531 c=8.531 alpha=97.97 beta=97.97 gamma=136.27
Fractional positions:
K (0.037, 0.625, 0.912)
K (0.375, 0.287, 0.412)
K (0.713, 0.125, 0.088)
K (0.875, 0.963, 0.588)
Ca (0.250, 0.750, 0.500)
Ca (0.500, 0.500, 0.000)
Al (0.000, 0.000, 0.000)
Al (0.750, 0.250, 0.500)

Entry 4:
Compound: ScW2Cl
Source: the Alexandria database
Functional: PBE-GGA
Structure: relaxed

Summary:
- ΔE_f (raw) (eV/atom) = 0.705
- size of the total moment (Bohr magnetons per cell) = 0.00
- distance to the lowest polymorph of the same formula (eV/f.u.) = 3.227
- uncorrected energy (Ry/atom) = -0.5745

Unit cell a=2.810 b=2.810 c=8.930 alpha=90.00 beta=90.00 gamma=90.00
Fractional positions:
Sc (0.000, 0.000, 0.000)
W (0.500, 0.500, 0.258)
W (0.500, 0.500, 0.742)
Cl (0.000, 0.000, 0.500)

Entry 5:
Compound: YCo2BC
Source: the Alexandria database
Functional: PBE-GGA
Structure: relaxed

Summary:
- size of the total moment (Bohr magnetons per cell) = 0.00
- uncorrected energy (Ry/atom) = -0.5595
- ΔE_f (eV/atom) = -0.297

Unit cell a=5.313 b=5.313 c=6.529 alpha=90.00 beta=90.00 gamma=141.09
Fractional positions:
Y (0.053, 0.947, 0.750)
Y (0.947, 0.053, 0.250)
Co (0.328, 0.672, 0.562)
Co (0.328, 0.672, 0.938)
Co (0.672, 0.328, 0.062)
Co (0.672, 0.328, 0.438)
B (0.230, 0.770, 0.250)
B (0.770, 0.230, 0.750)
C (0.500, 0.500, 0.000)
C (0.500, 0.500, 0.500)

Entry 6:
Compound: SbN3Cl
Source: the Alexandria database
Functional: PBE-GGA
Structure: relaxed

Summary:
- ΔE_f (raw) (eV/atom) = 1.930
- size of the total moment (Bohr magnetons per cell) = 5.11
- uncorrected energy (Ry/atom) = -0.3130

Unit cell a=4.212 b=4.212 c=4.212 alpha=90.00 beta=90.00 gamma=90.00
Fractional positions:
Sb (0.000, 0.000, 0.000)
N (0.000, 0.000, 0.500)
N (0.000, 0.500, 0.000)
N (0.500, 0.000, 0.000)
Cl (0.500, 0.500, 0.500)

Entry 7:
Compound: ZnBi2P2Pt7
Source: the Alexandria database
Functional: PBE-GGA
Structure: relaxed

Summary:
- size of the total moment (Bohr magnetons per cell) = 0.00
- uncorrected energy (Ry/atom) = -0.4117
- ΔE_f (eV/atom) = -0.422

Unit cell a=3.962 b=3.962 c=14.916 alpha=97.57 beta=97.57 gamma=89.97
Fractional positions:
Zn (0.000, 0.000, 0.000)
Bi (0.210, 0.210, 0.419)
Bi (0.790, 0.790, 0.581)
P (0.388, 0.388, 0.773)
P (0.612, 0.612, 0.227)
Pt (0.069, 0.569, 0.139)
Pt (0.308, 0.308, 0.616)
Pt (0.431, 0.931, 0.861)
Pt (0.500, 0.500, 0.000)
Pt (0.569, 0.069, 0.139)
Pt (0.692, 0.692, 0.384)
Pt (0.931, 0.431, 0.861)

Entry 8:
Compound: AcLa5Tb5
Source: the Alexandria database
Functional: PBE-GGA
Structure: relaxed

Summary:
- size of the total moment (Bohr magnetons per cell) = 0.00
- uncorrected energy (Ry/atom) = -0.3288
- ΔE_f (eV/atom) = 0.245

Unit cell a=6.307 b=6.307 c=11.859 alpha=90.00 beta=90.00 gamma=120.00
Fractional positions:
Ac (0.000, 0.000, 0.000)
La (0.000, 0.000, 0.326)
La (0.000, 0.000, 0.674)
La (0.333, 0.667, 0.157)
La (0.333, 0.667, 0.843)
La (0.667, 0.333, 0.000)
Tb (0.501, 0.001, 0.500)
Tb (0.501, 0.499, 0.500)
Tb (0.667, 0.333, 0.266)
Tb (0.667, 0.333, 0.734)
Tb (0.999, 0.499, 0.500)